Here is crystalline Cr2MoCl at its relaxed geometry from the Alexandria database. Energies are from PBE.

Values from the calculation:
**N(E_F)**: 1.8800 states/eV/atom
**Formation energy (no corrections)**: 1079 meV/atom
**Energy above the lowest structure with this stoichiometry**: 876 meV per atom
**DFT total energy**: -27.607 eV for the cell shown

a b c (Å): 4.2631 4.2631 4.2631
angles (deg): 60.00 60.00 60.00
Closest atoms and distances in Å follow each position.
Positions (direct):
Cr (0.2500, 0.2500, 0.2500)  4 Cl 2.61, 4 Mo 2.61
Cr (0.7500, 0.7500, 0.7500)  4 Cl 2.61, 4 Mo 2.61
Mo (0.0000, 0.0000, 0.0000)  8 Cr 2.61
Cl (0.5000, 0.5000, 0.5000)  8 Cr 2.61